Below is crystalline PmTmMoO6 at its relaxed geometry, with properties calculated at the PBE with a Hubbard U level.

As for the magnetic moment: 0.00 Bohr magnetons per cell. The total energy is -70.29 eV/cell.

Cell lengths 5.4852, 5.4852, 4.9481 Å; angles 90.00, 90.00, 120.00 degrees
Space group P312 (No. 149)
Asymmetric unit:
Pm 0.0000 0.0000 0.0000 (multiplicity 1)
Tm 0.3333 0.6667 0.5000 (multiplicity 1)
Mo 0.6667 0.3333 0.5000 (multiplicity 1)
O 0.3733 0.0353 0.7209 (multiplicity 6)